Here is a relaxed structure of CaLaGa2 from Alexandria via LeMat-Bulk. Energies are from GGA-PBE.

Results
Total magnetization in μB/f.u.: 0.0
Total energy in eV/f.u.: -15.00
N(E_F) in states/eV per cell: 2.304

CIF file:
```
data_CaLaGa2
_chemical_formula_sum 'Ca1 La1 Ga2'
_cell_length_a 3.699
_cell_length_b 3.699
_cell_length_c 7.550
_cell_angle_alpha 90.00
_cell_angle_beta 90.00
_cell_angle_gamma 90.00
_space_group_name_H-M_alt 'P 4/m m m'
_space_group_IT_number 123
_space_group_name_Hall '-P 4 2'
loop_
_atom_site_label
_atom_site_fract_x
_atom_site_fract_y
_atom_site_fract_z
Ca1 0.000 0.000 0.000
La1 0.000 0.000 0.500
Ga1 0.500 0.500 0.239
```

=====

Here is a relaxed structure of NaFe2I2Br6 from Alexandria via LeMat-Bulk. Energies are from GGA-PBE.

Results
Total magnetization in μB/f.u.: 9.0
E_form (uncorrected) in eV per atom: -0.541
N(E_F) in states/eV per cell: 6.285

CIF file:
```
data_NaFe2I2Br6
_chemical_formula_sum 'Na1 Fe2 I2 Br6'
_cell_length_a 6.8948
_cell_length_b 6.8948
_cell_length_c 10.5217
_cell_angle_alpha 90.00
_cell_angle_beta 90.00
_cell_angle_gamma 120.00
_space_group_name_H-M_alt 'P -3'
_space_group_IT_number 147
_space_group_name_Hall '-P 3'
loop_
_atom_site_label
_atom_site_fract_x
_atom_site_fract_y
_atom_site_fract_z
Na1 0.0000 0.0000 0.0000
Fe1 0.3333 0.6667 0.7550
I1 0.3333 0.6667 0.5127
Br1 0.0051 0.6533 0.8246
```